[1]
First-principles (GGA-PBE) data for a geometry-optimized PaSiRu2 structure, as listed in the Alexandria database.

Cell and atoms, written as CIF:
```
data_PaSiRu2
_cell_length_a 4.239
_cell_length_b 4.239
_cell_length_c 3.705
_cell_angle_alpha 90.00
_cell_angle_beta 90.00
_cell_angle_gamma 90.00
_symmetry_space_group_name_H-M 'P 4/m m m'
_symmetry_Int_Tables_number 123
_symmetry_space_group_name_Hall '-P 4 2'
loop_
_atom_site_label
_atom_site_type_symbol
_atom_site_fract_x
_atom_site_fract_y
_atom_site_fract_z
Pa1 Pa 0.000 0.000 0.000
Si1 Si 0.500 0.500 0.000
Ru1 Ru 0.000 0.500 0.500
```

- Energy relative to the elements, uncorrected: -0.5471 eV per atom
- Energy: -8.9147 eV/atom
- V: 66.6 Å³/cell
- Total moment: 0.00 Bohr magnetons per cell



[2]
First-principles (GGA-PBE) data for a geometry-optimized Pa4Si8Ru structure, as listed in the Alexandria database.

Cell and atoms, written as CIF:
```
data_Pa4Si8Ru
_cell_length_a 3.925
_cell_length_b 3.966
_cell_length_c 16.151
_cell_angle_alpha 90.00
_cell_angle_beta 90.00
_cell_angle_gamma 90.00
_symmetry_space_group_name_H-M 'P m m 2'
_symmetry_Int_Tables_number 25
_symmetry_space_group_name_Hall 'P 2 -2'
loop_
_atom_site_label
_atom_site_type_symbol
_atom_site_fract_x
_atom_site_fract_y
_atom_site_fract_z
Pa1 Pa 0.000 0.000 0.000
Pa2 Pa 0.000 0.500 0.490
Pa3 Pa 0.500 0.000 0.786
Pa4 Pa 0.500 0.500 0.278
Si1 Si 0.000 0.000 0.337
Si2 Si 0.000 0.000 0.622
Si3 Si 0.000 0.500 0.139
Si4 Si 0.000 0.500 0.854
Si5 Si 0.500 0.000 0.139
Si6 Si 0.500 0.000 0.425
Si7 Si 0.500 0.500 0.622
Si8 Si 0.500 0.500 0.938
Ru1 Ru 0.000 0.500 0.708
```

- Energy relative to the elements, uncorrected: -0.4829 eV per atom
- Energy: -7.4555 eV/atom
- V: 251.4 Å³/cell
- Total moment: 0.00 Bohr magnetons per cell



> Which value of V does entry 1 give?

66.6 Å³/cell